Entry 1:
{
  "formula": "CaRuSe2",
  "functional": "PBE",
  "state": "relaxed",
  "lattice": [[-1.612, -2.460, -3.724], [-3.531, 1.744, -2.646], [0.869, 1.527, -4.408]],
  "species": ["Se", "Se", "Ca", "Ru"],
  "fractional_positions": [[0.750, 0.750, 0.750], [0.250, 0.250, 0.250], [0.000, 0.000, 0.000], [0.500, 0.500, 0.500]],
  "final_energy_ev_per_atom": -5.018,
  "e_form_raw_ev_per_atom": -0.46,
  "vol_a3_per_cell": 76
}

Entry 2:
{
  "formula": "La4TmIn2",
  "functional": "PBE",
  "state": "relaxed",
  "lattice": [[-3.717, -4.231, -3.685], [-0.865, -0.065, -6.674], [5.879, -3.807, 6.061]],
  "species": ["In", "In", "La", "La", "La", "La", "Tm"],
  "fractional_positions": [[0.500, 0.248, 0.748], [0.500, 0.752, 0.252], [0.132, 0.632, 0.500], [0.000, 0.500, 0.000], [0.868, 0.368, 0.500], [0.500, 0.000, 0.000], [0.000, 0.000, 0.000]],
  "final_energy_ev_per_atom": -4.290,
  "vol_a3_per_cell": 226,
  "formation_enthalpy_0k_ev_per_fu": -0.37
}

Entry 3:
{
  "formula": "Li2InBr",
  "functional": "PBE",
  "state": "relaxed",
  "lattice": [[3.453, 0.000, 0.000], [0.000, 3.453, 0.000], [0.000, 0.000, 8.397]],
  "species": ["In", "Li", "Li", "Br"],
  "fractional_positions": [[0.500, 0.500, 0.780], [0.500, 0.500, 0.410], [0.000, 0.000, 0.005], [0.000, 0.000, 0.304]],
  "final_energy_ev_per_atom": -2.708,
  "e_form_raw_ev_per_atom": -0.65,
  "vol_a3_per_cell": 100
}